Below is a relaxed Ga2SnHg crystal, with properties calculated at the PBE level.

## Properties
As for the density: 8.2 g/cm3. The space group is Fm-3m (225).

```
Ga2SnHg
1.0
0.0000 3.5886 3.5886
3.5886 0.0000 3.5886
3.5886 3.5886 0.0000
Ga Hg Sn
2 1 1
direct
0.7500 0.7500 0.7500
0.2500 0.2500 0.2500
0.5000 0.5000 0.5000
0.0000 0.0000 0.0000
```

Below is a relaxed Li2CrTe crystal, with properties calculated at the PBE level.

## Properties
As for the density: 3.7 g/cm3. The space group is R-3m (166).

```
Li2CrTe
1.0
-9.1571 0.9680 -1.1117
-9.0005 0.5639 2.1674
-8.5235 3.5580 0.8455
Cr Li Te
1 2 1
direct
0.7500 0.7500 0.7500
0.5040 0.5040 0.5040
0.9960 0.9960 0.9960
0.2500 0.2500 0.2500
```

no.,E (eV per formula unit)
1,-10.01
2,-15.67